Computed, not measured: an optimized crystal structure of SiAgPb2 at the GGA-PBEsol level of DFT.

Cell: 3.3225 3.3225 8.3201 Å, 90.00 90.00 90.00°
Sites, in units of the cell vectors:
Ag 0.5000 0.5000 0.2951
Pb 0.0000 0.0000 0.0395
Pb 0.5000 0.5000 0.7089
Si 0.0000 0.0000 0.4565

Values from the calculation:
SG: P4mm
ΔE_f (raw) (meV per atom): 229

=====

Computed, not measured: an optimized crystal structure of SiIrSe at the GGA-PBEsol level of DFT.

Cell: 4.1604 4.1604 4.1604 Å, 60.00 60.00 60.00°
Sites, in units of the cell vectors:
Si 0.5000 0.5000 0.5000
Ir 0.2500 0.2500 0.2500
Se 0.0000 0.0000 0.0000

Values from the calculation:
SG: F-43m
ΔE_f (raw) (meV per atom): -217

=====

Computed, not measured: an optimized crystal structure of ZnCd2Br at the GGA-PBEsol level of DFT.

Cell: 3.5983 3.5983 8.1790 Å, 77.29 77.29 60.00°
Sites, in units of the cell vectors:
Br 0.0000 0.0000 0.0000
Cd 0.2421 0.2421 0.2736
Cd 0.7579 0.7579 0.7264
Zn 0.5000 0.5000 0.5000

Values from the calculation:
Energy relative to the lowest polymorph listed for this composition (meV per atom): 0
SG: R-3m
ΔE_f (raw) (meV per atom): -110

=====

Computed, not measured: an optimized crystal structure of Li4Cu3BiP4O16 at the GGA-PBEsol level of DFT.

Cell: 4.7794 6.2627 10.2129 Å, 90.00 92.32 90.00°
Site moments in Bohr magnetons follow the coordinates.
Sites, in units of the cell vectors:
O 0.2350 0.0000 0.5344  0.01
O 0.2232 0.7987 0.3256  0.03
O 0.2232 0.2013 0.3256  0.03
O 0.1994 0.5000 0.6269  0.03
O 0.2467 0.5000 0.1065  0.04
O 0.2951 0.8046 0.8444  0.03
O 0.2951 0.1954 0.8444  0.03
O 0.2980 0.0000 0.0591  0.05
O 0.6683 0.5000 0.9561  0.06
O 0.7075 0.3005 0.1678  0.05
O 0.7075 0.6995 0.1678  0.05
O 0.7454 0.0000 0.9278  0.00
O 0.7787 0.0000 0.3911  0.03
O 0.7308 0.3010 0.6426  0.00
O 0.7308 0.6990 0.6426  0.00
O 0.8169 0.5000 0.4394  0.04
P 0.1034 0.0000 0.3906  0.00
P 0.4245 0.0000 0.9222  0.00
P 0.5711 0.5000 0.1003  0.00
P 0.8876 0.5000 0.5898  0.00
Bi 0.9652 0.0000 0.7114  0.00
Cu 0.0644 0.5000 0.2872  0.49
Cu 0.4150 0.5000 0.7998  0.47
Cu 0.5711 0.0000 0.2099  0.49
Li 0.0036 0.7524 0.0357  0.00
Li 0.0036 0.2476 0.0357  0.00
Li 0.5443 0.2449 0.4578  0.00
Li 0.5443 0.7551 0.4578  0.00

Values from the calculation:
SG: Pm
ΔE_f (raw) (meV per atom): -1856

=====

Computed, not measured: an optimized crystal structure of Ca2CoSe at the GGA-PBEsol level of DFT.

Cell: 3.9906 4.0274 5.7701 Å, 110.43 90.00 90.00°
Site moments in Bohr magnetons follow the coordinates.
Sites, in units of the cell vectors:
Ca 0.0000 0.1082 0.2165  -0.03
Ca 0.5000 0.3918 0.7836  -0.03
Co 0.0000 0.8167 0.6334  1.14
Se 0.5000 0.6854 0.3708  0.03

Values from the calculation:
SG: Amm2
ΔE_f (raw) (meV per atom): -629

=====

Computed, not measured: an optimized crystal structure of Al2AgO at the GGA-PBEsol level of DFT.

Cell: 5.3183 5.8124 5.3183 Å, 117.23 90.00 117.23°
Sites, in units of the cell vectors:
O 0.7500 0.5000 0.2500
O 0.5000 0.0000 0.5000
Al 0.4644 0.2500 0.3750
Al 0.7856 0.2500 0.8750
Al 0.1250 0.7500 0.5356
Al 0.6250 0.7500 0.2144
Ag 0.2500 0.5000 0.7500
Ag 0.0000 0.0000 0.0000

Values from the calculation:
SG: I-42d
ΔE_f (raw) (meV per atom): -758

=====

Computed, not measured: an optimized crystal structure of ZnTeO3 at the GGA-PBEsol level of DFT.

Cell: 6.2826 7.2879 12.2908 Å, 90.00 90.00 90.00°
Sites, in units of the cell vectors:
Zn 0.1237 0.1098 0.4103
Zn 0.6237 0.8902 0.0897
Zn 0.3763 0.6098 0.5897
Zn 0.8763 0.3902 0.9103
Zn 0.8763 0.8902 0.5897
Zn 0.3763 0.1098 0.9103
Zn 0.6237 0.3902 0.4103
Zn 0.1237 0.6098 0.0897
Te 0.0887 0.0662 0.1449
Te 0.5887 0.9338 0.3551
Te 0.4113 0.5662 0.8551
Te 0.9113 0.4338 0.6449
Te 0.9113 0.9338 0.8551
Te 0.4113 0.0662 0.6449
Te 0.5887 0.4338 0.1449
Te 0.0887 0.5662 0.3551
O 0.4693 0.6554 0.0867
O 0.9693 0.3446 0.4133
O 0.0307 0.1554 0.9133
O 0.5307 0.8446 0.5867
O 0.5307 0.3446 0.9133
O 0.0307 0.6554 0.5867
O 0.9693 0.8446 0.0867
O 0.4693 0.1554 0.4133
O 0.3492 0.5445 0.4326
O 0.8492 0.4555 0.0674
O 0.1508 0.0445 0.5674
O 0.6508 0.9555 0.9326
O 0.6508 0.4555 0.5674
O 0.1508 0.5445 0.9326
O 0.8492 0.9555 0.4326
O 0.3492 0.0445 0.0674
O 0.2015 0.4674 0.2238
O 0.7015 0.5326 0.2762
O 0.2985 0.9674 0.7762
O 0.7985 0.0326 0.7238
O 0.7985 0.5326 0.7762
O 0.2985 0.4674 0.7238
O 0.7015 0.0326 0.2238
O 0.2015 0.9674 0.2762

Values from the calculation:
SG: Pbca
ΔE_f (raw) (meV per atom): -1210

=====

Computed, not measured: an optimized crystal structure of TlFeF3 at the GGA-PBEsol level of DFT.

Cell: 4.5187 4.5187 4.5187 Å, 90.00 90.00 90.00°
Site moments in Bohr magnetons follow the coordinates.
Sites, in units of the cell vectors:
Tl 0.0000 0.0000 0.0000  -0.04
Fe 0.5000 0.5000 0.5000  3.40
F 0.0000 0.5000 0.0000  0.01
F 0.0000 0.0000 0.5000  0.01
F 0.5000 0.0000 0.0000  0.01

Values from the calculation:
SG: Pm-3m
ΔE_f (raw) (meV per atom): -648

=====

Number 1: energy -4.035 eV per atom, ρ 9.95 g/cm3, D(E_F) 0.401 states/eV/atom. Number 2: energy -6.691 eV per atom, ρ 9.76 g/cm3, D(E_F) 0.363 states/eV/atom. Number 3: energy -1.572 eV per atom, ρ 6.93 g/cm3, D(E_F) 0.245 states/eV/atom. Number 4: energy -6.582 eV per atom, ρ 4.39 g/cm3, D(E_F) 0.152 states/eV/atom. Number 5: energy -4.592 eV per atom, ρ 4.17 g/cm3, D(E_F) 0.806 states/eV/atom. Number 6: energy -4.944 eV per atom, ρ 4.71 g/cm3, D(E_F) 0.337 states/eV/atom. Number 7: energy -5.381 eV per atom, ρ 5.69 g/cm3, D(E_F) 0.000 states/eV/atom. Number 8: energy -4.124 eV per atom, ρ 5.71 g/cm3, D(E_F) 1.806 states/eV/atom.